SrCa2Ir PBE relaxed; VASP energy = -3.6604 eV per atom; D(E_F) = 2.458 states/eV/f.u.; energy of formation = -0.1 eV per formula unit; calculated volume = 37.3 A^3/atom
1.0
9.8719 0.0076 0.0045
8.9557 4.1535 0.0045
8.9557 1.9793 3.6515
Ca Ir Sr
2 1 1
Cartesian
14.8681 3.2860 1.9590
26.8069 5.9246 3.5320
6.9458 1.5351 0.9152
20.8375 4.6053 2.7455